# 1
Entry from the Alexandria database: crystalline Tb6DyY2Tm3 at its relaxed geometry (PBE).

Properties
Total magnetic moment, μB/cell: 0.00
Total energy, eV per cell: -58.5
E_form, eV per atom: 0.019
Density of states at the Fermi level, states/eV per atom: 1.36

POSCAR file:
```
Tb6DyY2Tm3
1.0
3.0705 -5.3132 0.0000
3.0705 5.3132 0.0000
-2.0383 0.0000 11.5423
Tb Dy Y Tm
6 1 2 3
Cartesian
0.0065 1.7674 8.6836
1.0193 0.0000 2.8587
0.0065 -1.7674 8.6836
4.0963 1.7674 2.8588
3.0835 0.0000 8.6837
4.0963 -1.7674 2.8588
-1.0191 0.0000 5.7712
2.0514 1.7710 5.7712
2.0514 -1.7710 5.7712
3.0705 3.5411 0.0000
3.0705 0.0000 0.0000
3.0705 -3.5411 0.0000
```

# 2
Entry from the Alexandria database: crystalline Tb2Dy4YTm2 at its relaxed geometry (PBE).

Properties
Total magnetic moment, μB/cell: 0.00
Total energy, eV per cell: -43.0
E_form, eV per atom: 0.006
Density of states at the Fermi level, states/eV per atom: 1.39

POSCAR file:
```
Tb2Dy4YTm2
1.0
9.2794 -1.7866 0.0000
9.2794 1.7866 0.0000
-4.1187 0.0000 8.5337
Tb Dy Y Tm
2 4 1 2
Cartesian
2.0631 0.0000 1.4311
12.3771 0.0000 7.1027
0.0051 0.0000 7.1103
8.2508 0.0000 1.4147
6.1894 0.0000 7.1190
14.4350 0.0000 1.4234
-2.0594 0.0000 4.2669
4.1156 0.0000 4.2640
10.3245 0.0000 4.2697
```

# 3
Entry from the Alexandria database: crystalline Tb3Dy6Y2Tm at its relaxed geometry (PBE).

Properties
Total magnetic moment, μB/cell: 0.00
Total energy, eV per cell: -58.7
E_form, eV per atom: 0.018
Density of states at the Fermi level, states/eV per atom: 1.36

POSCAR file:
```
Tb3Dy6Y2Tm
1.0
3.0733 -5.3172 0.0000
3.0733 5.3172 0.0000
-2.0351 0.0000 11.5768
Tb Dy Y Tm
3 6 2 1
Cartesian
0.0000 0.0000 0.0000
3.0733 1.7718 0.0000
3.0733 -1.7718 0.0000
1.0295 1.7673 2.8987
0.0178 0.0000 8.6796
1.0295 -1.7673 2.8987
3.0821 1.7673 8.6781
4.0937 0.0000 2.8972
3.0821 -1.7673 8.6781
2.0558 3.5453 5.7884
2.0558 -3.5453 5.7884
2.0558 0.0000 5.7884
```

# 4
Entry from the Alexandria database: crystalline TbDyYTm3 at its relaxed geometry (PBE).

Properties
Total magnetic moment, μB/cell: 0.00
Total energy, eV per cell: -56.7
E_form, eV per atom: 0.127
Density of states at the Fermi level, states/eV per atom: 1.97

POSCAR file:
```
TbDyYTm3
1.0
2.8373 -5.8947 0.0000
2.8373 5.8947 0.0000
0.0000 0.0000 11.2344
Tb Dy Y Tm
2 2 2 6
Cartesian
0.0000 0.0000 0.0000
0.0000 0.0000 5.6172
2.8373 0.2354 8.4258
2.8373 -0.2354 2.8086
2.8373 3.8591 8.4258
2.8373 -3.8591 2.8086
2.8373 4.0908 2.8086
2.8373 2.0180 0.2188
2.8373 2.0180 5.3985
2.8373 -2.0180 5.8360
2.8373 -2.0180 11.0157
2.8373 -4.0908 8.4258
```

# 5
Entry from the Alexandria database: crystalline TbDy5Y2Tm at its relaxed geometry (PBE).

Properties
Total magnetic moment, μB/cell: 0.00
Total energy, eV per cell: -87.3
E_form, eV per atom: 0.153
Density of states at the Fermi level, states/eV per atom: 1.65

POSCAR file:
```
TbDy5Y2Tm
1.0
2.7982 -9.8674 0.0000
2.7982 9.8674 0.0000
0.0000 0.0000 10.5675
Tb Dy Y Tm
2 10 4 2
Cartesian
2.7982 8.1608 5.2837
2.7982 -8.1608 0.0000
2.7982 9.4695 8.2549
2.7982 7.6785 0.6751
2.7982 5.9025 7.9169
2.7982 5.5716 3.7188
2.7982 0.3839 0.6895
2.7982 -0.3839 5.9733
2.7982 -5.5716 9.0025
2.7982 -5.9025 2.6332
2.7982 -7.6785 5.9588
2.7982 -9.4695 2.9711
2.7982 2.2423 3.8039
2.7982 2.1768 8.2219
2.7982 -2.1768 2.9381
2.7982 -2.2423 9.0876
2.7982 3.9572 0.5563
2.7982 -3.9572 5.8401
```

# 6
Entry from the Alexandria database: crystalline TbDy2Y4Tm2 at its relaxed geometry (PBE).

Properties
Total magnetic moment, μB/cell: 0.00
Total energy, eV per cell: -48.6
E_form, eV per atom: 0.004
Density of states at the Fermi level, states/eV per atom: 1.41

POSCAR file:
```
TbDy2Y4Tm2
1.0
9.2955 -1.7893 0.0000
9.2955 1.7893 0.0000
-4.1310 0.0000 8.5526
Tb Dy Y Tm
1 2 4 2
Cartesian
0.0000 0.0000 0.0000
0.0026 0.0000 5.7134
14.4573 0.0000 2.8392
2.0753 0.0000 2.8460
6.1992 0.0000 5.6944
8.2608 0.0000 2.8582
12.3847 0.0000 5.7065
6.1827 0.0000 0.0052
8.2773 0.0000 8.5473
```

# 7
Entry from the Alexandria database: crystalline TbDy6Y3Tm2 at its relaxed geometry (PBE).

Properties
Total magnetic moment, μB/cell: 0.00
Total energy, eV per cell: -60.3
E_form, eV per atom: 0.021
Density of states at the Fermi level, states/eV per atom: 1.39

POSCAR file:
```
TbDy6Y3Tm2
1.0
3.0683 -5.3085 0.0000
3.0683 5.3085 0.0000
-2.0349 0.0000 11.5588
Tb Dy Y Tm
1 6 3 2
Cartesian
0.0000 0.0000 0.0000
1.0298 1.7712 2.8684
0.0068 0.0000 8.6915
1.0298 -1.7712 2.8684
3.0719 1.7712 8.6904
4.0949 0.0000 2.8673
3.0719 -1.7712 8.6904
2.0509 3.5367 5.7794
2.0509 0.0000 5.7794
2.0509 -3.5367 5.7794
3.0683 1.7698 0.0000
3.0683 -1.7698 0.0000
```

# 8
Entry from the Alexandria database: crystalline TbDyY6Tm2 at its relaxed geometry (PBE).

Properties
Total magnetic moment, μB/cell: 0.00
Total energy, eV per cell: -111.5
E_form, eV per atom: 0.121
Density of states at the Fermi level, states/eV per atom: 1.58

POSCAR file:
```
TbDyY6Tm2
1.0
4.5535 -7.4699 0.0000
4.5535 7.4699 0.0000
-1.2883 0.0000 9.4674
Tb Dy Y Tm
2 2 12 4
Cartesian
3.5873 7.0868 7.1006
4.2314 -7.0868 2.3669
4.2314 1.3627 2.3669
3.5873 -1.3627 7.1006
1.7780 4.1176 6.4669
3.9124 4.7379 0.5297
4.5504 4.7379 4.2040
2.5089 1.5972 8.3561
5.3967 4.1176 7.7342
4.6658 1.5972 5.8450
3.1530 -1.5972 3.6224
2.4221 -4.1176 1.7332
5.3099 -1.5972 1.1113
3.2683 -4.7379 5.2634
3.9063 -4.7379 8.9377
6.0408 -4.1176 3.0005
1.5530 0.7672 5.1785
2.1971 -0.7672 0.4448
5.6216 0.7672 9.0226
6.2657 -0.7672 4.2889
```

It is found that the V values, taken in the order of the records, are 31.384 31.440 31.530 31.316 32.419 31.612 31.378 32.203 Å³/atom.